Entry 1:
This record from Alexandria via LeMat-Bulk describes a relaxed LiGa3Hg crystal. The functional is PBEsol.

The structure in CIF format:
```
data_LiGa3Hg
_cell_length_a 5.1569
_cell_length_b 5.1569
_cell_length_c 5.1569
_cell_angle_alpha 90.00
_cell_angle_beta 90.00
_cell_angle_gamma 90.00
_symmetry_space_group_name_H-M 'P 1'
_symmetry_Int_Tables_number 1
_symmetry_space_group_name_Hall 'P 1'
loop_
_atom_site_label
_atom_site_fract_x
_atom_site_fract_y
_atom_site_fract_z
Ga1 0.0000 0.0000 0.5000
Ga2 0.0000 0.5000 0.0000
Ga3 0.5000 0.0000 0.0000
Hg1 0.0000 0.0000 0.0000
Li1 0.5000 0.5000 0.5000
```

## Properties
Fermi-level density of states = 3.033 states/eV/cell
energy = -10.4 eV/cell
volume = 27.43 Å³ per atom
ΔH_f (0 K) = 0.440 eV per atom

---

Entry 2:
This record from Alexandria via LeMat-Bulk describes a relaxed Li2Ga2Hg crystal. The functional is PBEsol.

The structure in CIF format:
```
data_Li2Ga2Hg
_cell_length_a 3.2300
_cell_length_b 7.1914
_cell_length_c 7.1914
_cell_angle_alpha 90.00
_cell_angle_beta 90.00
_cell_angle_gamma 90.00
_symmetry_space_group_name_H-M 'P 1'
_symmetry_Int_Tables_number 1
_symmetry_space_group_name_Hall 'P 1'
loop_
_atom_site_label
_atom_site_fract_x
_atom_site_fract_y
_atom_site_fract_z
Ga1 0.0000 0.3726 0.8726
Ga2 0.0000 0.8726 0.6274
Ga3 0.0000 0.6274 0.1274
Ga4 0.0000 0.1274 0.3726
Li1 0.5000 0.6708 0.8292
Li2 0.5000 0.8292 0.3292
Li3 0.5000 0.3292 0.1708
Li4 0.5000 0.1708 0.6708
Hg1 0.0000 0.5000 0.5000
Hg2 0.0000 0.0000 0.0000
```

## Properties
Fermi-level density of states = 3.012 states/eV/cell
energy = -24.8 eV/cell
volume = 16.70 Å³ per atom
ΔH_f (0 K) = -0.243 eV per atom

---

Entry 3:
This record from Alexandria via LeMat-Bulk describes a relaxed Li2GaHg2 crystal. The functional is PBEsol.

The structure in CIF format:
```
data_Li2GaHg2
_cell_length_a 3.2522
_cell_length_b 7.4577
_cell_length_c 7.4577
_cell_angle_alpha 90.00
_cell_angle_beta 90.00
_cell_angle_gamma 90.00
_symmetry_space_group_name_H-M 'P 1'
_symmetry_Int_Tables_number 1
_symmetry_space_group_name_Hall 'P 1'
loop_
_atom_site_label
_atom_site_fract_x
_atom_site_fract_y
_atom_site_fract_z
Li1 0.5000 0.8425 0.3425
Li2 0.5000 0.1575 0.6575
Li3 0.5000 0.3425 0.1575
Li4 0.5000 0.6575 0.8425
Ga1 0.0000 0.5000 0.5000
Ga2 0.0000 0.0000 0.0000
Hg1 0.0000 0.8579 0.6421
Hg2 0.0000 0.1421 0.3579
Hg3 0.0000 0.3579 0.8579
Hg4 0.0000 0.6421 0.1421
```

## Properties
Fermi-level density of states = 3.164 states/eV/cell
energy = -19.7 eV/cell
volume = 18.09 Å³ per atom
ΔH_f (0 K) = -0.286 eV per atom

---

Entry 4:
This record from Alexandria via LeMat-Bulk describes a relaxed Li2GaSnHg crystal. The functional is PBEsol.

The structure in CIF format:
```
data_Li2GaSnHg
_cell_length_a 4.8794
_cell_length_b 4.8794
_cell_length_c 4.9818
_cell_angle_alpha 90.00
_cell_angle_beta 90.00
_cell_angle_gamma 90.00
_symmetry_space_group_name_H-M 'P 1'
_symmetry_Int_Tables_number 1
_symmetry_space_group_name_Hall 'P 1'
loop_
_atom_site_label
_atom_site_fract_x
_atom_site_fract_y
_atom_site_fract_z
Sn1 0.5000 0.5000 0.5000
Li1 0.5000 0.0000 0.0000
Li2 0.0000 0.5000 0.0000
Hg1 0.0000 0.0000 0.0000
Ga1 0.0000 0.0000 0.5000
```

## Properties
Fermi-level density of states = 1.992 states/eV/cell
energy = -11.6 eV/cell
volume = 23.72 Å³ per atom
ΔH_f (0 K) = 0.091 eV per atom

---

Entry 5:
This record from Alexandria via LeMat-Bulk describes a relaxed MgGaHg2 crystal. The functional is PBEsol.

The structure in CIF format:
```
data_MgGaHg2
_cell_length_a 4.8823
_cell_length_b 4.8823
_cell_length_c 4.8823
_cell_angle_alpha 60.00
_cell_angle_beta 60.00
_cell_angle_gamma 60.00
_symmetry_space_group_name_H-M 'P 1'
_symmetry_Int_Tables_number 1
_symmetry_space_group_name_Hall 'P 1'
loop_
_atom_site_label
_atom_site_fract_x
_atom_site_fract_y
_atom_site_fract_z
Hg1 0.7500 0.7500 0.7500
Hg2 0.2500 0.2500 0.2500
Ga1 0.5000 0.5000 0.5000
Mg1 0.0000 0.0000 0.0000
```

## Properties
Fermi-level density of states = 1.717 states/eV/cell
energy = -6.6 eV/cell
volume = 20.57 Å³ per atom
ΔH_f (0 K) = -0.108 eV per atom

---

Entry 6:
This record from Alexandria via LeMat-Bulk describes a relaxed Mg2Ga2Hg crystal. The functional is PBEsol.

The structure in CIF format:
```
data_Mg2Ga2Hg
_cell_length_a 3.2131
_cell_length_b 7.8386
_cell_length_c 7.8386
_cell_angle_alpha 90.00
_cell_angle_beta 90.00
_cell_angle_gamma 90.00
_symmetry_space_group_name_H-M 'P 1'
_symmetry_Int_Tables_number 1
_symmetry_space_group_name_Hall 'P 1'
loop_
_atom_site_label
_atom_site_fract_x
_atom_site_fract_y
_atom_site_fract_z
Hg1 0.0000 0.5000 0.5000
Hg2 0.0000 0.0000 0.0000
Mg1 0.5000 0.6845 0.8155
Mg2 0.5000 0.1845 0.6845
Mg3 0.5000 0.8155 0.3155
Mg4 0.5000 0.3155 0.1845
Ga1 0.0000 0.3845 0.8845
Ga2 0.0000 0.6155 0.1155
Ga3 0.0000 0.1155 0.3845
Ga4 0.0000 0.8845 0.6155
```

## Properties
Fermi-level density of states = 3.649 states/eV/cell
energy = -22.5 eV/cell
volume = 19.74 Å³ per atom
ΔH_f (0 K) = -0.113 eV per atom

---

Entry 7:
This record from Alexandria via LeMat-Bulk describes a relaxed SrMgGaHg2 crystal. The functional is PBEsol.

The structure in CIF format:
```
data_SrMgGaHg2
_cell_length_a 5.1378
_cell_length_b 5.1378
_cell_length_c 5.9207
_cell_angle_alpha 90.00
_cell_angle_beta 90.00
_cell_angle_gamma 90.00
_symmetry_space_group_name_H-M 'P 1'
_symmetry_Int_Tables_number 1
_symmetry_space_group_name_Hall 'P 1'
loop_
_atom_site_label
_atom_site_fract_x
_atom_site_fract_y
_atom_site_fract_z
Sr1 0.0000 0.0000 0.5000
Hg1 0.0000 0.5000 0.0000
Hg2 0.5000 0.0000 0.0000
Ga1 0.0000 0.0000 0.0000
Mg1 0.5000 0.5000 0.5000
```

## Properties
Fermi-level density of states = 2.816 states/eV/cell
energy = -7.6 eV/cell
volume = 31.26 Å³ per atom
ΔH_f (0 K) = 0.095 eV per atom

---

Entry 8:
This record from Alexandria via LeMat-Bulk describes a relaxed MnGaHg3 crystal. The functional is PBEsol.

The structure in CIF format:
```
data_MnGaHg3
_cell_length_a 5.0654
_cell_length_b 5.0654
_cell_length_c 5.0654
_cell_angle_alpha 90.00
_cell_angle_beta 90.00
_cell_angle_gamma 90.00
_symmetry_space_group_name_H-M 'P 1'
_symmetry_Int_Tables_number 1
_symmetry_space_group_name_Hall 'P 1'
loop_
_atom_site_label
_atom_site_fract_x
_atom_site_fract_y
_atom_site_fract_z
Hg1 0.5000 0.0000 0.0000
Hg2 0.0000 0.5000 0.0000
Hg3 0.0000 0.0000 0.5000
Mn1 0.5000 0.5000 0.5000
Ga1 0.0000 0.0000 0.0000
```

## Properties
Fermi-level density of states = 2.625 states/eV/cell
energy = -11.4 eV/cell
volume = 25.99 Å³ per atom
ΔH_f (0 K) = 0.682 eV per atom

---

Entry 9:
This record from Alexandria via LeMat-Bulk describes a relaxed MnGaHg2Pd crystal. The functional is PBEsol.

The structure in CIF format:
```
data_MnGaHg2Pd
_cell_length_a 4.6572
_cell_length_b 4.8542
_cell_length_c 4.8542
_cell_angle_alpha 90.00
_cell_angle_beta 90.00
_cell_angle_gamma 90.00
_symmetry_space_group_name_H-M 'P 1'
_symmetry_Int_Tables_number 1
_symmetry_space_group_name_Hall 'P 1'
loop_
_atom_site_label
_atom_site_fract_x
_atom_site_fract_y
_atom_site_fract_z
Ga1 0.0000 0.0000 0.0000
Hg1 0.0000 0.0000 0.5000
Hg2 0.0000 0.5000 0.0000
Mn1 0.5000 0.0000 0.0000
Pd1 0.5000 0.5000 0.5000
```

## Properties
Fermi-level density of states = 2.647 states/eV/cell
energy = -16.2 eV/cell
volume = 21.95 Å³ per atom
ΔH_f (0 K) = 0.807 eV per atom

---

Entry 10:
This record from Alexandria via LeMat-Bulk describes a relaxed MnGa2HgPt crystal. The functional is PBEsol.

The structure in CIF format:
```
data_MnGa2HgPt
_cell_length_a 4.8299
_cell_length_b 4.8299
_cell_length_c 5.1222
_cell_angle_alpha 90.00
_cell_angle_beta 90.00
_cell_angle_gamma 90.00
_symmetry_space_group_name_H-M 'P 1'
_symmetry_Int_Tables_number 1
_symmetry_space_group_name_Hall 'P 1'
loop_
_atom_site_label
_atom_site_fract_x
_atom_site_fract_y
_atom_site_fract_z
Pt1 0.0000 0.0000 0.5000
Mn1 0.5000 0.5000 0.5000
Ga1 0.0000 0.5000 0.0000
Ga2 0.5000 0.0000 0.0000
Hg1 0.0000 0.0000 0.0000
```

## Properties
Fermi-level density of states = 2.432 states/eV/cell
energy = -18.7 eV/cell
volume = 23.90 Å³ per atom
ΔH_f (0 K) = 1.062 eV per atom

---

Entry 11:
This record from Alexandria via LeMat-Bulk describes a relaxed Ga2HgN2 crystal. The functional is PBEsol.

The structure in CIF format:
```
data_Ga2HgN2
_cell_length_a 3.7549
_cell_length_b 3.7549
_cell_length_c 6.7192
_cell_angle_alpha 106.23
_cell_angle_beta 106.23
_cell_angle_gamma 90.00
_symmetry_space_group_name_H-M 'P 1'
_symmetry_Int_Tables_number 1
_symmetry_space_group_name_Hall 'P 1'
loop_
_atom_site_label
_atom_site_fract_x
_atom_site_fract_y
_atom_site_fract_z
Ga1 0.7500 0.2500 0.5000
Ga2 0.2500 0.7500 0.5000
N1 0.7006 0.7006 0.4012
N2 0.2994 0.2994 0.5988
Hg1 0.0000 0.0000 0.0000
```

## Properties
energy = -23.4 eV/cell
volume = 17.41 Å³ per atom
E_form (uncorrected) = 0.19 eV/atom

---

Entry 12:
This record from Alexandria via LeMat-Bulk describes a relaxed GaHg2PN crystal. The functional is PBEsol.

The structure in CIF format:
```
data_GaHg2PN
_cell_length_a 3.3032
_cell_length_b 5.3511
_cell_length_c 5.3511
_cell_angle_alpha 90.00
_cell_angle_beta 90.00
_cell_angle_gamma 90.00
_symmetry_space_group_name_H-M 'P 1'
_symmetry_Int_Tables_number 1
_symmetry_space_group_name_Hall 'P 1'
loop_
_atom_site_label
_atom_site_fract_x
_atom_site_fract_y
_atom_site_fract_z
N1 0.5000 0.0000 0.0000
P1 0.0000 0.0000 0.0000
Hg1 0.0000 0.0000 0.5000
Hg2 0.0000 0.5000 0.0000
Ga1 0.5000 0.5000 0.5000
```

## Properties
Fermi-level density of states = 2.282 states/eV/cell
energy = -16.8 eV/cell
volume = 18.92 Å³ per atom
E_form (uncorrected) = 0.40 eV/atom

---

It is found that the spin magnetization values, taken in the order of the records, are 0.00; 0.00; 0.00; 0.00; 0.00; 0.00; 0.00; 4.96; 4.00; 4.83; 0.00; 0.00 Bohr magnetons per cell.